This record from Alexandria describes a geometry-optimized Pa2SnPb structure. The functional is PBE.

a b c (Å): 4.5473 4.8229 4.8229
angles (deg): 90.00 90.00 90.00
Each line ends with the local moment (μB).
Positions (direct):
1 Pb 0.5000 0.5000 0.5000  -0.02
2 Sn 0.5000 0.0000 0.0000  -0.02
3 Pa 0.0000 0.0000 0.5000  0.86
4 Pa 0.0000 0.5000 0.0000  0.86

Formation energy from the elements ... 0.018 eV/f.u.
Symmetry ... P4/mmm
Fermi-level density of states ... 2.1659 states/eV/atom
Density ... 12.4 g/cm³
E above lowest polymorph ... 0.009 eV/atom

***

This record from Alexandria describes a geometry-optimized Pa2SnPb structure. The functional is PBE.

a b c (Å): 3.4107 3.4107 9.0844
angles (deg): 90.00 90.00 90.00
Each line ends with the local moment (μB).
Positions (direct):
1 Pa 0.0000 0.0000 0.7579  0.77
2 Pb 0.5000 0.5000 0.5000  -0.02
3 Pa 0.0000 0.0000 0.2421  0.77
4 Sn 0.5000 0.5000 0.0000  -0.02

Formation energy from the elements ... -0.019 eV/f.u.
Symmetry ... P4/mmm
Fermi-level density of states ... 2.2063 states/eV/atom
Density ... 12.4 g/cm³
E above lowest polymorph ... 0.000 eV/atom

***

This record from Alexandria describes a geometry-optimized PaSn2Pb structure. The functional is PBE.

a b c (Å): 5.4084 5.4084 5.4142
angles (deg): 60.04 60.04 60.00
Each line ends with the local moment (μB).
Positions (direct):
1 Sn 0.7501 0.7501 0.7498  0.02
2 Sn 0.2499 0.2499 0.2502  0.02
3 Pa 0.0000 0.0000 0.0000  0.77
4 Pb 0.5000 0.5000 0.5000  -0.02

Formation energy from the elements ... 0.534 eV/f.u.
Symmetry ... R-3m
Fermi-level density of states ... 1.0220 states/eV/atom
Density ... 10.0 g/cm³
E above lowest polymorph ... 0.328 eV/atom

***

This record from Alexandria describes a geometry-optimized Pa2Sn9Pb structure. The functional is PBE.

a b c (Å): 4.6284 4.6285 14.7756
angles (deg): 90.00 90.00 90.00
Positions (direct):
1 Sn 0.0000 0.5000 0.8212
2 Pb 0.0000 0.0000 0.0000
3 Sn 0.5000 0.5000 0.3398
4 Pa 0.0000 0.0000 0.3460
5 Pa 0.0000 0.0000 0.6540
6 Sn 0.5000 0.5000 0.0000
7 Sn 0.0000 0.5000 0.5000
8 Sn 0.5000 0.0000 0.1788
9 Sn 0.5000 0.5000 0.6602
10 Sn 0.5000 0.0000 0.8212
11 Sn 0.5000 0.0000 0.5000
12 Sn 0.0000 0.5000 0.1788

Formation energy from the elements ... -1.648 eV/f.u.
Symmetry ... P4/mmm
Fermi-level density of states ... 0.8324 states/eV/atom
Density ... 9.1 g/cm³

***

This record from Alexandria describes a geometry-optimized TbPaSnPb structure. The functional is PBE.

a b c (Å): 5.3820 5.3820 5.3820
angles (deg): 60.00 60.00 60.00
Each line ends with the local moment (μB).
Positions (direct):
1 Tb 0.5000 0.5000 0.5000  0.38
2 Pa 0.0000 0.0000 0.0000  1.21
3 Sn 0.7500 0.7500 0.7500  0.04
4 Pb 0.2500 0.2500 0.2500  0.03

Formation energy from the elements ... -0.676 eV/f.u.
Symmetry ... F-43m
Fermi-level density of states ... 1.8753 states/eV/atom
Density ... 10.8 g/cm³

***

This record from Alexandria describes a geometry-optimized ThPaSnPb structure. The functional is PBE.

a b c (Å): 5.4407 5.4407 5.4407
angles (deg): 60.00 60.00 60.00
Each line ends with the local moment (μB).
Positions (direct):
1 Th 0.5000 0.5000 0.5000  0.23
2 Pa 0.0000 0.0000 0.0000  1.02
3 Sn 0.2500 0.2500 0.2500  0.03
4 Pb 0.7500 0.7500 0.7500  0.03

Formation energy from the elements ... -0.348 eV/f.u.
Symmetry ... F-43m
Fermi-level density of states ... 2.0757 states/eV/atom
Density ... 11.5 g/cm³

***

This record from Alexandria describes a geometry-optimized TmPaSnPb structure. The functional is PBE.

a b c (Å): 5.3448 5.3448 5.3448
angles (deg): 60.00 60.00 60.00
Each line ends with the local moment (μB).
Positions (direct):
1 Pb 0.7500 0.7500 0.7500  0.02
2 Tm 0.5000 0.5000 0.5000  0.30
3 Sn 0.2500 0.2500 0.2500  0.02
4 Pa 0.0000 0.0000 0.0000  1.02

Formation energy from the elements ... -0.565 eV/f.u.
Symmetry ... F-43m
Fermi-level density of states ... 1.9387 states/eV/atom
Density ... 11.2 g/cm³

***

This record from Alexandria describes a geometry-optimized YPaSnPb structure. The functional is PBE.

a b c (Å): 5.3782 5.3782 5.3782
angles (deg): 60.00 60.00 60.00
Each line ends with the local moment (μB).
Positions (direct):
1 Pb 0.0000 0.0000 0.0000  0.03
2 Pa 0.2500 0.2500 0.2500  1.17
3 Y 0.7500 0.7500 0.7500  0.29
4 Sn 0.5000 0.5000 0.5000  0.03

Formation energy from the elements ... -0.713 eV/f.u.
Symmetry ... F-43m
Fermi-level density of states ... 1.8528 states/eV/atom
Density ... 9.7 g/cm³

***

This record from Alexandria describes a geometry-optimized SrPaPb structure. The functional is PBE.

a b c (Å): 3.9066 3.9066 13.7260
angles (deg): 98.18 98.18 90.00
Positions (direct):
1 Pa 0.7285 0.7285 0.4570
2 Sr 0.4259 0.4259 0.8518
3 Pb 0.1533 0.1533 0.3065
4 Pb 0.8467 0.8467 0.6935
5 Pa 0.2715 0.2715 0.5430
6 Sr 0.5741 0.5741 0.1482

Formation energy from the elements ... -0.191 eV/f.u.
Symmetry ... I4/mmm
Fermi-level density of states ... 1.6178 states/eV/atom
Density ... 8.5 g/cm³

***

This record from Alexandria describes a geometry-optimized SrPa2Pb9 structure. The functional is PBE.

a b c (Å): 4.8697 4.8697 14.7335
angles (deg): 90.00 90.00 90.00
Positions (direct):
1 Pb 0.5000 0.0000 0.1756
2 Pa 0.0000 0.0000 0.3428
3 Pb 0.0000 0.5000 0.8244
4 Pb 0.5000 0.5000 0.3369
5 Sr 0.0000 0.0000 0.0000
6 Pb 0.5000 0.5000 0.6631
7 Pb 0.0000 0.5000 0.5000
8 Pb 0.0000 0.5000 0.1756
9 Pb 0.5000 0.0000 0.8244
10 Pb 0.5000 0.0000 0.5000
11 Pa 0.0000 0.0000 0.6572
12 Pb 0.5000 0.5000 0.0000

Formation energy from the elements ... -1.330 eV/f.u.
Symmetry ... P4/mmm
Fermi-level density of states ... 1.0272 states/eV/atom
Density ... 11.5 g/cm³

***

This record from Alexandria describes a geometry-optimized Tb2PaPb structure. The functional is PBE.

a b c (Å): 3.5205 3.5205 9.2693
angles (deg): 90.00 90.00 90.00
Each line ends with the local moment (μB).
Positions (direct):
1 Pa 0.5000 0.5000 0.0000  0.49
2 Tb 0.0000 0.0000 0.7441  0.03
3 Tb 0.0000 0.0000 0.2559  0.03
4 Pb 0.5000 0.5000 0.5000  0.01

Formation energy from the elements ... -0.263 eV/f.u.
Symmetry ... P4/mmm
Fermi-level density of states ... 1.5139 states/eV/atom
Density ... 10.9 g/cm³
E above lowest polymorph ... 0.000 eV/atom

***

This record from Alexandria describes a geometry-optimized Tb2PaPb structure. The functional is PBE.

a b c (Å): 4.5509 4.9189 4.9189
angles (deg): 90.00 90.00 90.00
Positions (direct):
1 Pb 0.5000 0.0000 0.0000
2 Tb 0.0000 0.0000 0.5000
3 Pa 0.5000 0.5000 0.5000
4 Tb 0.0000 0.5000 0.0000

Formation energy from the elements ... -0.232 eV/f.u.
Symmetry ... P4/mmm
Fermi-level density of states ... 1.3510 states/eV/atom
Density ... 11.4 g/cm³
E above lowest polymorph ... 0.008 eV/atom

***

formation energy from the elements of number 7 (TmPaSnPb)?
-0.565 eV/f.u.

***

Copy entry 10 word for word.
This record from Alexandria describes a geometry-optimized SrPa2Pb9 structure. The functional is PBE.

a b c (Å): 4.8697 4.8697 14.7335
angles (deg): 90.00 90.00 90.00
Positions (direct):
1 Pb 0.5000 0.0000 0.1756
2 Pa 0.0000 0.0000 0.3428
3 Pb 0.0000 0.5000 0.8244
4 Pb 0.5000 0.5000 0.3369
5 Sr 0.0000 0.0000 0.0000
6 Pb 0.5000 0.5000 0.6631
7 Pb 0.0000 0.5000 0.5000
8 Pb 0.0000 0.5000 0.1756
9 Pb 0.5000 0.0000 0.8244
10 Pb 0.5000 0.0000 0.5000
11 Pa 0.0000 0.0000 0.6572
12 Pb 0.5000 0.5000 0.0000

Formation energy from the elements ... -1.330 eV/f.u.
Symmetry ... P4/mmm
Fermi-level density of states ... 1.0272 states/eV/atom
Density ... 11.5 g/cm³

***

Which of these has the lowest density?
SrPaPb

***

What did the sixth record say?
This record from Alexandria describes a geometry-optimized ThPaSnPb structure. The functional is PBE.

a b c (Å): 5.4407 5.4407 5.4407
angles (deg): 60.00 60.00 60.00
Each line ends with the local moment (μB).
Positions (direct):
1 Th 0.5000 0.5000 0.5000  0.23
2 Pa 0.0000 0.0000 0.0000  1.02
3 Sn 0.2500 0.2500 0.2500  0.03
4 Pb 0.7500 0.7500 0.7500  0.03

Formation energy from the elements ... -0.348 eV/f.u.
Symmetry ... F-43m
Fermi-level density of states ... 2.0757 states/eV/atom
Density ... 11.5 g/cm³